Entry 1:
A plane-wave DFT calculation with GGA-PBE was carried out for a relaxed LaAs2SeCl crystal.

As for the energy relative to the lowest polymorph listed for this composition: 0.000 eV per atom. The value obtained for the density of states at the Fermi level is 6.1 states/eV per cell. The total energy is -4.0044 eV/atom.

abc: 4.8872 4.8872 5.2301
angles: 90.00 90.00 90.00
With the nearest neighbours (Å) after each atom.
Space group P4/mmm (No. 123)
One atom of each set of equivalent atoms:
La 0.0000 0.0000 0.0000 (multiplicity 1)  4 Se 3.46, 8 As 3.58
As 0.0000 0.5000 0.5000 (multiplicity 2)  2 Cl 2.44
Se 0.5000 0.5000 0.0000 (multiplicity 1)  2 Cl 2.62
Cl 0.5000 0.5000 0.5000 (multiplicity 1)  4 As 2.44, 2 Se 2.62


Entry 2:
A plane-wave DFT calculation with GGA-PBE was carried out for a relaxed La6As3Se2Cl crystal.

The value obtained for the density of states at the Fermi level is 12.2 states/eV per cell. The total energy is -6.1444 eV/atom.

abc: 18.9042 4.3336 8.6795
angles: 90.00 103.28 90.00
With the nearest neighbours (Å) after each atom.
Space group C2/m (No. 12)
One atom of each set of equivalent atoms:
La 0.0021 0.0000 0.2372 (multiplicity 4)  3 As 2.98-3.01, 1 Se 3.08, 2 Cl 3.15
La 0.1660 0.5000 0.0878 (multiplicity 4)  3 As 3.05, 3 Se 3.11
La 0.1720 0.5000 0.5806 (multiplicity 4)  3 As 2.99-3.03, 2 Se 3.09, 1 Cl 3.16
As 0.0000 0.5000 0.0000 (multiplicity 2)  6 La 2.98-3.05
As 0.1653 0.0000 0.3340 (multiplicity 4)  6 La 2.99-3.05
Se 0.1652 0.0000 0.8307 (multiplicity 4)  6 La 3.08-3.11
Cl 0.0000 0.5000 0.5000 (multiplicity 2)  6 La 3.15-3.16


Entry 3:
A plane-wave DFT calculation with GGA-PBE was carried out for a relaxed La4AsSe2Cl crystal.

The value obtained for the density of states at the Fermi level is 11.2 states/eV per cell. The total energy is -5.9639 eV/atom.

abc: 6.0742 6.0742 12.1966
angles: 90.00 90.00 90.00
With the nearest neighbours (Å) after each atom.
Space group I4/mmm (No. 139)
One atom of each set of equivalent atoms:
La 0.0000 0.0000 0.2435 (multiplicity 4)  1 As 2.97, 4 Se 3.04, 1 Cl 3.13
La 0.0000 0.5000 0.0000 (multiplicity 4)  2 Cl 3.04, 2 As 3.04, 2 Se 3.05
As 0.0000 0.0000 0.0000 (multiplicity 2)  6 La 2.97-3.04
Se 0.0000 0.5000 0.2500 (multiplicity 4)  6 La 3.04-3.05
Cl 0.0000 0.0000 0.5000 (multiplicity 2)  6 La 3.04-3.13


Entry 4:
A plane-wave DFT calculation with GGA-PBE was carried out for a relaxed LaAs2SeCl crystal.

As for the energy relative to the lowest polymorph listed for this composition: 0.457 eV per atom. The value obtained for the density of states at the Fermi level is 7.1 states/eV per cell. The total energy is -3.5470 eV/atom.

abc: 5.9108 5.9108 5.6238
angles: 90.00 90.00 90.00
With the nearest neighbours (Å) after each atom.
Space group P4/mmm (No. 123)
One atom of each set of equivalent atoms:
La 0.0000 0.0000 0.0000 (multiplicity 1)  2 Se 2.81, 4 As 2.96
As 0.0000 0.5000 0.0000 (multiplicity 2)  2 La 2.96
Se 0.0000 0.0000 0.5000 (multiplicity 1)  2 La 2.81
Cl 0.5000 0.5000 0.5000 (multiplicity 1)  8 As 4.08, 4 Se 4.18


Entry 5:
A plane-wave DFT calculation with GGA-PBE was carried out for a relaxed La4SiAsCl2 crystal.

The value obtained for the density of states at the Fermi level is 4.6 states/eV per cell. The total energy is -5.6529 eV/atom.

abc: 7.3779 4.3329 7.5368
angles: 90.00 109.77 90.00
With the nearest neighbours (Å) after each atom.
Space group P2/m (No. 10)
One atom of each set of equivalent atoms:
La 0.2321 0.0000 0.2390 (multiplicity 2)  2 Si 2.96, 1 As 3.01, 3 Cl 3.09-3.14
La 0.2329 0.5000 0.7502 (multiplicity 2)  1 Si 2.95, 2 As 3.00, 3 Cl 3.10-3.16
Si 0.0000 0.5000 0.0000 (multiplicity 1)  6 La 2.95-2.96
As 0.0000 0.0000 0.5000 (multiplicity 1)  6 La 3.00-3.01
Cl 0.5000 0.0000 0.0000 (multiplicity 1)  6 La 3.09-3.10
Cl 0.5000 0.5000 0.5000 (multiplicity 1)  6 La 3.14-3.16


Entry 6:
A plane-wave DFT calculation with GGA-PBE was carried out for a relaxed La6Si2AsCl3 crystal.

The value obtained for the density of states at the Fermi level is 13.0 states/eV per cell. The total energy is -5.6172 eV/atom.

abc: 18.7174 4.3450 8.5713
angles: 90.00 101.97 90.00
With the nearest neighbours (Å) after each atom.
Space group C2/m (No. 12)
One atom of each set of equivalent atoms:
La 0.0058 0.0000 0.2446 (multiplicity 4)  1 Si 2.94, 2 As 3.01, 3 Cl 3.10-3.15
La 0.1651 0.5000 0.0966 (multiplicity 4)  2 Si 2.96, 1 As 3.03, 3 Cl 3.09-3.13
La 0.1708 0.5000 0.5738 (multiplicity 4)  3 Si 2.99, 3 Cl 3.13
Si 0.1662 0.0000 0.3323 (multiplicity 4)  6 La 2.94-2.99
As 0.0000 0.5000 0.0000 (multiplicity 2)  6 La 3.01-3.03
Cl 0.0000 0.5000 0.5000 (multiplicity 2)  6 La 3.10-3.13
Cl 0.1662 0.0000 0.8340 (multiplicity 4)  6 La 3.09-3.15